This record from Alexandria via LeMat-Bulk describes an optimized crystal structure of Li8Mn3Fe5B8O24. The functional is GGA+U.

Structure (extended XYZ):
```
48
Lattice="5.237 0.000 0.000 0.130 5.963 0.000 0.310 2.382 15.969" Properties=species:S:1:pos:R:3 pbc="T T T"
Li 0.000 0.000 0.000
Li 0.221 4.166 8.050
Li 1.897 3.922 11.576
Li 1.817 5.683 3.565
Li 2.933 6.256 12.022
Li 2.720 2.051 4.029
Li 4.632 6.004 15.507
Li 4.424 1.773 7.623
Mn 2.011 6.700 6.463
Mn 4.484 4.591 2.436
Mn 5.292 3.132 5.187
Fe 2.016 4.912 14.459
Fe 2.821 5.255 9.147
Fe 2.616 1.075 1.137
Fe 4.513 2.819 10.464
Fe 5.558 7.347 13.104
B 1.917 2.208 9.078
B 1.835 4.000 1.020
B 2.709 3.742 6.603
B 2.930 7.969 14.525
B 4.642 4.299 13.022
B 4.568 6.068 5.052
B 5.427 5.875 10.547
B 5.222 1.671 2.546
O 0.560 2.338 8.887
O 0.475 4.102 0.794
O 1.549 5.750 10.734
O 1.344 1.563 2.736
O 1.959 4.710 7.296
O 2.062 2.910 15.307
O 2.249 7.152 13.620
O 2.062 2.845 5.742
O 2.470 4.829 1.937
O 2.587 3.053 9.969
O 2.662 1.288 8.333
O 2.596 3.086 0.269
O 3.281 4.426 12.852
O 3.209 6.167 4.816
O 4.065 3.644 6.818
O 4.290 7.843 14.700
O 4.683 6.777 11.324
O 4.466 2.573 3.306
O 4.759 5.064 9.628
O 4.555 0.844 1.634
O 5.073 0.941 5.968
O 5.329 5.119 13.919
O 5.378 3.389 12.246
O 5.330 5.149 4.313
```

Results
Space group = P1, No. 1
M_tot = 33.00 μB/f.u.
ΔE to the lowest computed polymorph = 0 meV per atom



This record from Alexandria via LeMat-Bulk describes an optimized crystal structure of Li8Mn7FeB8O24. The functional is GGA+U.

Structure (extended XYZ):
```
48
Lattice="5.234 0.000 0.000 0.119 9.120 0.000 2.523 4.281 10.180" Properties=species:S:1:pos:R:3 pbc="T T T"
Li 0.000 0.000 0.000
Li 0.746 1.452 2.564
Li 2.640 4.442 5.123
Li 3.531 5.777 7.623
Li 2.647 4.616 0.009
Li 3.431 6.040 2.547
Li 5.306 8.970 5.117
Li 6.178 10.358 7.678
Mn 2.578 7.304 9.866
Mn 0.897 7.482 2.236
Mn 2.679 10.527 4.792
Mn 3.458 8.836 7.308
Mn 5.237 11.943 9.862
Mn 3.444 2.945 2.242
Mn 5.274 5.946 4.763
Fe 6.052 4.303 7.319
B 2.620 10.332 9.792
B 0.875 4.502 2.196
B 2.610 7.476 4.710
B 3.557 11.959 7.292
B 5.206 5.771 9.786
B 3.552 9.072 2.136
B 5.156 2.915 4.723
B 6.109 7.363 7.232
O 1.264 7.653 4.342
O 2.194 7.208 7.654
O 0.732 7.198 0.094
O 3.397 9.218 9.427
O 2.831 10.805 6.985
O 2.851 4.074 7.120
O 3.840 5.650 9.645
O 2.238 4.633 2.026
O 3.338 8.569 5.193
O 3.196 6.242 4.561
O 2.784 10.148 2.578
O 2.912 7.872 1.788
O 3.810 3.089 4.353
O 4.885 11.854 7.725
O 3.254 2.667 0.097
O 5.365 6.223 6.875
O 6.029 4.696 9.399
O 5.539 8.617 7.131
O 6.482 10.276 9.673
O 4.923 9.174 2.006
O 5.895 3.999 5.201
O 5.849 10.788 4.588
O 5.342 5.584 2.651
O 5.477 3.298 1.879
```

Results
Space group = P1, No. 1
M_tot = 5.00 μB/f.u.
ΔE to the lowest computed polymorph = 305 meV per atom



This record from Alexandria via LeMat-Bulk describes an optimized crystal structure of Li8Mn7FeB8O24. The functional is GGA+U.

Structure (extended XYZ):
```
48
Lattice="5.252 0.000 0.000 0.094 5.940 0.000 0.260 2.453 16.094" Properties=species:S:1:pos:R:3 pbc="T T T"
Li 0.000 0.000 0.000
Li 5.426 4.164 8.063
Li 1.853 3.874 11.675
Li 1.782 5.702 3.543
Li 2.875 6.273 12.101
Li 2.719 2.098 3.987
Li 4.391 1.810 7.617
Li 4.579 6.008 15.674
Mn 1.928 6.680 6.446
Mn 2.016 4.951 14.543
Mn 2.732 5.232 9.218
Mn 4.548 2.815 10.512
Mn 4.465 4.633 2.416
Mn 5.418 7.299 13.235
Mn 5.281 3.175 5.176
Fe 2.541 1.058 1.140
B 1.883 2.215 9.093
B 1.822 3.992 1.031
B 2.859 7.961 14.653
B 2.685 3.759 6.579
B 4.605 4.316 13.122
B 4.524 6.096 5.041
B 5.210 1.698 2.522
B 5.391 5.830 10.626
O 0.524 2.312 8.868
O 0.466 4.081 0.799
O 1.497 5.729 10.857
O 1.325 1.585 2.720
O 1.911 4.663 7.321
O 2.019 2.948 15.399
O 2.209 7.122 13.749
O 2.061 2.924 5.652
O 2.513 3.047 10.019
O 2.457 4.904 1.877
O 2.649 1.308 8.347
O 2.589 3.021 0.359
O 3.165 6.185 4.807
O 3.248 4.417 12.905
O 4.217 7.850 14.870
O 4.043 3.668 6.812
O 4.621 6.744 11.355
O 4.471 2.613 3.285
O 4.544 0.863 1.625
O 4.760 4.985 9.714
O 5.053 0.990 5.968
O 5.253 5.218 13.977
O 5.360 3.351 12.436
O 5.301 5.192 4.303
```

Results
Space group = P1, No. 1
M_tot = 33.00 μB/f.u.
ΔE to the lowest computed polymorph = 82 meV per atom



This record from Alexandria via LeMat-Bulk describes an optimized crystal structure of Li4Mn3FeB4O12. The functional is GGA+U.

Structure (extended XYZ):
```
24
Lattice="5.287 0.000 0.000 0.188 6.161 0.000 0.290 1.539 7.699" Properties=species:S:1:pos:R:3 pbc="T T T"
Li 0.000 0.000 0.000
Li 1.064 5.507 4.735
Li 2.872 3.821 3.886
Li 3.486 1.680 0.899
Mn 1.154 4.322 7.579
Mn 2.801 5.076 1.041
Mn 3.783 6.561 3.744
Fe 5.457 2.692 4.857
B 0.893 1.125 2.400
B 2.885 2.051 6.165
B 3.759 4.975 6.270
B 5.476 4.400 2.388
O 0.352 0.895 3.671
O 0.703 4.617 1.104
O 1.005 3.949 3.402
O 1.535 2.330 6.353
O 2.248 0.885 2.185
O 2.912 5.355 5.248
O 3.240 4.779 7.561
O 3.454 2.220 4.883
O 3.697 1.686 7.217
O 4.126 4.695 2.638
O 5.105 4.724 6.026
O 5.359 1.520 1.359
```

Results
Space group = P1, No. 1
M_tot = 17.00 μB/f.u.
ΔE to the lowest computed polymorph = 82 meV per atom